Record 1
Computed, not measured: a geometry-optimized Zr4TiIn3 structure at the GGA-PBE level of DFT.

Unit cell a=4.383 b=4.385 c=9.535 alpha=103.30 beta=103.29 gamma=90.00
Fractional positions:
Zr (0.879, 0.879, 0.758)
Zr (0.621, 0.621, 0.242)
Zr (0.121, 0.121, 0.242)
Zr (0.379, 0.379, 0.758)
In (0.000, 0.500, 0.000)
In (0.250, 0.750, 0.501)
In (0.750, 0.250, 0.499)
Ti (0.500, 0.000, 0.000)

Summary:
Its density of states at the Fermi level is 8.416 states/eV/f.u. The energy of formation from the pure elements is -0.24 eV/atom. The calculation puts the total energy at -6.5319 eV/atom. Its space group is I4/mmm (139).

---

Record 2
Computed, not measured: a geometry-optimized Zr4TiIn structure at the GGA-PBE level of DFT.

Unit cell a=3.031 b=8.652 c=5.204 alpha=89.98 beta=89.89 gamma=90.00
Fractional positions:
In (0.500, 0.500, 0.500)
Zr (0.500, 0.309, 0.000)
Zr (0.500, 0.691, 0.000)
Zr (0.000, 0.820, 0.500)
Zr (0.000, 0.180, 0.500)
Ti (0.000, 0.000, 0.000)

Summary:
Its density of states at the Fermi level is 9.746 states/eV/f.u. The energy of formation from the pure elements is 0.13 eV/atom. The calculation puts the total energy at -7.3418 eV/atom. Its space group is P2/m (10). Its excess energy over the best structure of this formula in the dataset is 119 meV/atom.

---

Record 3
Computed, not measured: a geometry-optimized ZrTi7In4 structure at the GGA-PBE level of DFT.

Unit cell a=4.977 b=9.672 c=5.823 alpha=83.25 beta=64.70 gamma=75.09
Last column: magnetic moment on the atom in μB.
Fractional positions:
Zr (0.000, 0.000, 0.000)  -0.01
Ti (0.500, 0.000, 0.000)  -0.11
Ti (0.217, 0.082, 0.484)  0.71
Ti (0.358, 0.535, 0.749)  0.62
Ti (0.642, 0.465, 0.251)  0.62
Ti (0.965, 0.386, 0.685)  0.83
Ti (0.035, 0.614, 0.315)  0.83
Ti (0.783, 0.918, 0.516)  0.71
In (0.404, 0.777, 0.415)  -0.01
In (0.719, 0.688, 0.875)  -0.01
In (0.596, 0.223, 0.585)  -0.01
In (0.281, 0.312, 0.125)  -0.01

Summary:
Its density of states at the Fermi level is 13.668 states/eV/f.u. The energy of formation from the pure elements is 0.17 eV/atom. The calculation puts the total energy at -6.0627 eV/atom. Its space group is C2/m (12).

---

Record 4
Computed, not measured: a geometry-optimized Zr4Ti2In5 structure at the GGA-PBE level of DFT.

Unit cell a=3.186 b=7.795 c=9.790 alpha=96.69 beta=90.00 gamma=90.00
Fractional positions:
Zr (0.500, 0.284, 0.441)
Zr (0.500, 0.716, 0.559)
Zr (0.500, 0.163, 0.869)
Zr (0.500, 0.837, 0.131)
In (0.000, 0.181, 0.156)
In (0.000, 0.432, 0.699)
In (0.000, 0.500, 0.000)
In (0.000, 0.819, 0.844)
In (0.000, 0.568, 0.301)
Ti (0.000, 0.056, 0.622)
Ti (0.000, 0.944, 0.378)

Summary:
Its density of states at the Fermi level is 9.811 states/eV/f.u. The energy of formation from the pure elements is -0.17 eV/atom. The calculation puts the total energy at -5.9543 eV/atom. Its space group is P2/m (10).

---

Record 5
Computed, not measured: a geometry-optimized Zr2Ti5In3 structure at the GGA-PBE level of DFT.

Unit cell a=5.423 b=9.268 c=9.268 alpha=96.71 beta=72.99 gamma=72.99
Last column: magnetic moment on the atom in μB.
Fractional positions:
Ti (0.506, 0.744, 0.744)  0.31
Ti (0.750, 0.500, 0.500)  0.29
Ti (0.177, 0.970, 0.677)  0.17
Ti (0.250, 0.500, 0.500)  0.29
Ti (0.006, 0.744, 0.744)  0.31
Ti (0.823, 0.030, 0.323)  0.17
Ti (0.994, 0.256, 0.256)  0.31
Ti (0.494, 0.256, 0.256)  0.31
Ti (0.323, 0.323, 0.030)  0.17
Ti (0.677, 0.677, 0.970)  0.17
In (0.750, 0.000, 0.000)  -0.01
In (0.627, 0.533, 0.213)  0.00
In (0.873, 0.787, 0.467)  0.00
In (0.373, 0.467, 0.787)  0.00
In (0.127, 0.213, 0.533)  0.00
In (0.250, 0.000, 0.000)  -0.01
Zr (0.596, 0.102, 0.706)  0.00
Zr (0.096, 0.706, 0.102)  0.00
Zr (0.404, 0.898, 0.294)  0.00
Zr (0.904, 0.294, 0.898)  0.00

Summary:
Its density of states at the Fermi level is 13.172 states/eV/f.u. The energy of formation from the pure elements is 0.17 eV/atom. The calculation puts the total energy at -6.3107 eV/atom. Its space group is Ibam (72).

---

Record 6
Computed, not measured: a geometry-optimized Zr5Ti3In3 structure at the GGA-PBE level of DFT.

Unit cell a=3.034 b=9.677 c=9.677 alpha=120.00 beta=90.00 gamma=90.00
Last column: magnetic moment on the atom in μB.
Fractional positions:
Ti (0.500, 0.153, 0.153)  0.11
Ti (0.500, 0.000, 0.847)  0.11
Ti (0.500, 0.847, 0.000)  0.11
Zr (0.500, 0.667, 0.333)  0.03
Zr (0.500, 0.671, 0.671)  0.01
Zr (0.500, 0.000, 0.329)  0.01
Zr (0.500, 0.333, 0.667)  0.03
Zr (0.500, 0.329, 0.000)  0.01
In (0.000, 0.000, 0.598)  0.00
In (0.000, 0.402, 0.402)  0.00
In (0.000, 0.598, 0.000)  0.00

Summary:
Its density of states at the Fermi level is 15.156 states/eV/f.u. The energy of formation from the pure elements is 0.27 eV/atom. The calculation puts the total energy at -6.5198 eV/atom. Its space group is P-62m (189).

---

Record 7
Computed, not measured: a geometry-optimized ZrTiIn2 structure at the GGA-PBE level of DFT.

Unit cell a=7.813 b=7.813 c=6.269 alpha=51.46 beta=51.46 gamma=90.00
Fractional positions:
In (0.375, 0.390, 0.750)
In (0.610, 0.125, 0.250)
In (0.140, 0.625, 0.250)
In (0.875, 0.860, 0.750)
Ti (0.250, 0.750, 0.500)
Ti (0.500, 0.500, 0.000)
Zr (0.750, 0.250, 0.500)
Zr (0.000, 0.000, 0.000)

Summary:
Its density of states at the Fermi level is 3.526 states/eV/f.u. The energy of formation from the pure elements is 0.14 eV/atom. The calculation puts the total energy at -5.3401 eV/atom. Its space group is I-42d (122). Its excess energy over the best structure of this formula in the dataset is 373 meV/atom.

---

Record 8
Computed, not measured: a geometry-optimized Zr3TiIn2 structure at the GGA-PBE level of DFT.

Unit cell a=3.014 b=5.373 c=9.005 alpha=107.36 beta=99.63 gamma=90.00
Last column: magnetic moment on the atom in μB.
Fractional positions:
Ti (0.000, 0.000, 0.000)  0.59
Zr (0.833, 0.833, 0.666)  0.04
Zr (0.167, 0.167, 0.334)  0.04
Zr (0.000, 0.500, 0.000)  0.02
In (0.342, 0.342, 0.683)  0.00
In (0.658, 0.658, 0.317)  0.00

Summary:
Its density of states at the Fermi level is 7.438 states/eV/f.u. The energy of formation from the pure elements is 0.23 eV/atom. The calculation puts the total energy at -6.2699 eV/atom. Its space group is Immm (71). Its excess energy over the best structure of this formula in the dataset is 447 meV/atom.